<i>
Here is an optimized crystal structure of BiBr2F from the Alexandria database. Energies are from GGA-PBE.

Cell: 3.9824 8.0725 15.1184 Å, 90.00 90.00 90.00°
Last column: nearest neighbours and their distance in Å.
Space group Cmcm (No. 63)
Symmetry-distinct sites (fractional):
Bi (0.0000, 0.2209, 0.2500) (multiplicity 4)  1 F 2.20
Br (0.0000, 0.3568, 0.6167) (multiplicity 8)  2 Bi 2.90, 3 F 3.18-3.24
F (0.0000, 0.0519, 0.7500) (multiplicity 4)  1 Bi 2.20

## Properties
Magnetic moment: 0.00 Bohr magnetons per cell
Volume: 30.377 Å³/atom
Fermi-level density of states: 0.0 states/eV per cell


<ii>
Here is an optimized crystal structure of BiBr2F from the Alexandria database. Energies are from GGA-PBE.

Cell: 7.0302 7.0302 7.0302 Å, 90.00 90.00 90.00°
Last column: nearest neighbours and their distance in Å.
Space group Fm-3m (No. 225)
Symmetry-distinct sites (fractional):
Bi (0.0000, 0.0000, 0.0000) (multiplicity 4)  8 Br 3.04
Br (0.2500, 0.2500, 0.2500) (multiplicity 8)  4 F 3.04, 4 Bi 3.04
F (0.0000, 0.0000, 0.5000) (multiplicity 4)  8 Br 3.04

## Properties
Magnetic moment: 0.00 Bohr magnetons per cell
Volume: 21.716 Å³/atom
Fermi-level density of states: 0.0 states/eV per cell


<iii>
Here is an optimized crystal structure of BiBr2F from the Alexandria database. Energies are from GGA-PBE.

Cell: 4.1802 4.5757 14.4222 Å, 90.00 90.00 90.00°
Last column: nearest neighbours and their distance in Å.
Space group Immm (No. 71)
Symmetry-distinct sites (fractional):
Bi (0.0000, 0.0000, 0.0000) (multiplicity 2)  2 F 2.29
Br (0.0000, 0.5000, 0.3603) (multiplicity 4)  2 Bi 2.90
F (0.0000, 0.5000, 0.0000) (multiplicity 2)  2 Bi 2.29

## Properties
Magnetic moment: 0.00 Bohr magnetons per cell
Volume: 34.482 Å³/atom
Fermi-level density of states: 0.0 states/eV per cell


<iii> is the most stable structure; the next one sits 33 meV/atom above it.